No. 1
A plane-wave DFT calculation with PBE was carried out for a geometry-optimized TlTcSn2 structure.

- Energy of formation from the pure elements: 14.1 kcal/mol of atoms
- Excess energy over the best structure of this formula in the dataset: 492 meV/atom
- Spin magnetization: 1.8 μB/f.u.
- Fermi-level density of states: 18.6 states/eV/cell
- Symmetry: No. 225

Cell lengths 7.1689, 7.1689, 7.1689 Å; angles 90.00, 90.00, 90.00 degrees
With the nearest neighbours (Å) after each atom.
Positions (direct):
Tl (0.0000, 0.0000, 0.0000)  8 Sn 3.10
Tl (0.0000, 0.5000, 0.5000)  8 Sn 3.10
Tl (0.5000, 0.0000, 0.5000)  8 Sn 3.10
Tl (0.5000, 0.5000, 0.0000)  8 Sn 3.10
Tc (0.0000, 0.0000, 0.5000)  8 Sn 3.10
Tc (0.0000, 0.5000, 0.0000)  8 Sn 3.10
Tc (0.5000, 0.0000, 0.0000)  8 Sn 3.10
Tc (0.5000, 0.5000, 0.5000)  8 Sn 3.10
Sn (0.2500, 0.2500, 0.2500)  4 Tl 3.10, 4 Tc 3.10
Sn (0.2500, 0.2500, 0.7500)  4 Tl 3.10, 4 Tc 3.10
Sn (0.2500, 0.7500, 0.2500)  4 Tl 3.10, 4 Tc 3.10
Sn (0.2500, 0.7500, 0.7500)  4 Tl 3.10, 4 Tc 3.10
Sn (0.7500, 0.2500, 0.2500)  4 Tl 3.10, 4 Tc 3.10
Sn (0.7500, 0.2500, 0.7500)  4 Tl 3.10, 4 Tc 3.10
Sn (0.7500, 0.7500, 0.2500)  4 Tl 3.10, 4 Tc 3.10
Sn (0.7500, 0.7500, 0.7500)  4 Tl 3.10, 4 Tc 3.10

=====

No. 2
A plane-wave DFT calculation with PBE was carried out for a geometry-optimized TlTcSn3 structure.

- Energy of formation from the pure elements: 4.2 kcal/mol of atoms
- Excess energy over the best structure of this formula in the dataset: 0 meV/atom
- Spin magnetization: 0.7 μB/f.u.
- Fermi-level density of states: 6.1 states/eV/cell
- Symmetry: No. 221

Cell lengths 5.2261, 5.2261, 5.2261 Å; angles 90.00, 90.00, 90.00 degrees
With the nearest neighbours (Å) after each atom.
Positions (direct):
Tl (0.0000, 0.0000, 0.0000)  12 Sn 3.70
Tc (0.5000, 0.5000, 0.5000)  6 Sn 2.61
Sn (0.0000, 0.5000, 0.5000)  2 Tc 2.61
Sn (0.5000, 0.0000, 0.5000)  2 Tc 2.61
Sn (0.5000, 0.5000, 0.0000)  2 Tc 2.61

=====

No. 3
A plane-wave DFT calculation with PBE was carried out for a geometry-optimized TlTcSn2 structure.

- Energy of formation from the pure elements: 4.1 kcal/mol of atoms
- Excess energy over the best structure of this formula in the dataset: 58 meV/atom
- Spin magnetization: 0.0 μB/f.u.
- Fermi-level density of states: 7.8 states/eV/cell
- Symmetry: No. 166

Cell lengths 3.3197, 3.3197, 30.1315 Å; angles 90.00, 90.00, 120.00 degrees
With the nearest neighbours (Å) after each atom.
Positions (direct):
Tl (0.0000, 0.0000, 0.0000)  2 Sn 3.06, 6 Tl 3.32
Tl (0.3333, 0.6667, 0.6667)  2 Sn 3.06, 6 Tl 3.32
Tl (0.6667, 0.3333, 0.3333)  2 Sn 3.06, 6 Tl 3.32
Tc (0.0000, 0.0000, 0.5000)  6 Sn 2.74
Tc (0.3333, 0.6667, 0.1667)  6 Sn 2.74
Tc (0.6667, 0.3333, 0.8333)  6 Sn 2.74
Sn (0.0000, 0.0000, 0.1016)  3 Tc 2.74, 1 Tl 3.06
Sn (0.0000, 0.0000, 0.8984)  3 Tc 2.74, 1 Tl 3.06
Sn (0.3333, 0.6667, 0.5650)  3 Tc 2.74, 1 Tl 3.06
Sn (0.3333, 0.6667, 0.7683)  3 Tc 2.74, 1 Tl 3.06
Sn (0.6667, 0.3333, 0.2317)  3 Tc 2.74, 1 Tl 3.06
Sn (0.6667, 0.3333, 0.4350)  3 Tc 2.74, 1 Tl 3.06

=====

No. 4
A plane-wave DFT calculation with PBE was carried out for a geometry-optimized TlZn2TcSn structure.

- Energy of formation from the pure elements: 29.8 kcal/mol of atoms
- Spin magnetization: 3.8 μB/f.u.
- Fermi-level density of states: 3.5 states/eV/cell
- Symmetry: No. 123

Cell lengths 5.0183, 5.0183, 5.8636 Å; angles 90.00, 90.00, 90.00 degrees
With the nearest neighbours (Å) after each atom.
Positions (direct):
Tl (0.0000, 0.0000, 0.0000)  2 Sn 2.93
Zn (0.0000, 0.5000, 0.5000)  2 Sn 2.51
Zn (0.5000, 0.0000, 0.5000)  2 Sn 2.51
Tc (0.5000, 0.5000, 0.0000)  4 Tl 3.55, 8 Zn 3.86
Sn (0.0000, 0.0000, 0.5000)  4 Zn 2.51

=====

No. 5
A plane-wave DFT calculation with PBE was carried out for a geometry-optimized Tm6Tc2Sn structure.

- Energy of formation from the pure elements: -6.8 kcal/mol of atoms
- Spin magnetization: 0.0 μB/f.u.
- Fermi-level density of states: 15.6 states/eV/cell
- Symmetry: No. 71

Cell lengths 8.4237, 8.4237, 8.4237 Å; angles 112.67, 112.01, 103.87 degrees
With the nearest neighbours (Å) after each atom.
Positions (direct):
Tm (0.0367, 0.2451, 0.7916)  2 Tc 2.78-3.10
Tm (0.1864, 0.2810, 0.4674)  3 Tc 2.94-2.95, 1 Sn 3.16
Tm (0.1864, 0.7190, 0.9054)  3 Tc 2.94-2.95, 1 Sn 3.16
Tm (0.3349, 0.0207, 0.6858)  3 Tc 2.86-2.94
Tm (0.3349, 0.6491, 0.3142)  3 Tc 2.86-2.94
Tm (0.4534, 0.2451, 0.2084)  2 Tc 2.78-3.10
Tm (0.5466, 0.7549, 0.7916)  2 Tc 2.78-3.10
Tm (0.6651, 0.3509, 0.6858)  3 Tc 2.86-2.94
Tm (0.6651, 0.9793, 0.3142)  3 Tc 2.86-2.94
Tm (0.8136, 0.2810, 0.0946)  3 Tc 2.94-2.95, 1 Sn 3.16
Tm (0.8136, 0.7190, 0.5326)  3 Tc 2.94-2.95, 1 Sn 3.16
Tm (0.9633, 0.7549, 0.2084)  2 Tc 2.78-3.10
Tc (0.1163, 0.6163, 0.5000)  1 Tc 2.42
Tc (0.3266, 0.0000, 0.3266)  8 Tm 2.78-2.94, 1 Sn 3.08
Tc (0.6734, 0.0000, 0.6734)  8 Tm 2.78-2.94, 1 Sn 3.08
Tc (0.8837, 0.3837, 0.5000)  1 Tc 2.42
Sn (0.0000, 0.0000, 0.0000)  2 Tc 3.08, 8 Tm 3.16-3.21
Sn (0.5000, 0.5000, 0.0000)  12 Tm 3.30-3.59

=====

No. 6
A plane-wave DFT calculation with PBE was carried out for a geometry-optimized Tm8Tc2Sn structure.

- Energy of formation from the pure elements: -5.3 kcal/mol of atoms
- Spin magnetization: 0.0 μB/f.u.
- Fermi-level density of states: 10.4 states/eV/cell
- Symmetry: No. 12

Cell lengths 9.2037, 9.2037, 7.2770 Å; angles 109.12, 109.12, 29.61 degrees
With the nearest neighbours (Å) after each atom.
Positions (direct):
Tm (0.0362, 0.0362, 0.2569)  1 Tc 2.87, 2 Sn 3.14
Tm (0.2011, 0.2011, 0.8119)  3 Tc 2.88-3.09
Tm (0.3229, 0.3229, 0.5497)  3 Tc 2.87-3.04
Tm (0.3993, 0.3993, 0.0268)  2 Tc 2.97, 1 Tm 3.27, 1 Sn 3.30
Tm (0.6007, 0.6007, 0.9732)  2 Tc 2.97, 1 Tm 3.27, 1 Sn 3.30
Tm (0.6771, 0.6771, 0.4503)  3 Tc 2.87-3.04
Tm (0.7989, 0.7989, 0.1881)  3 Tc 2.88-3.09
Tm (0.9638, 0.9638, 0.7431)  1 Tc 2.87, 2 Sn 3.14
Tc (0.1874, 0.1874, 0.1950)  9 Tm 2.87-3.09
Tc (0.8126, 0.8126, 0.8050)  9 Tm 2.87-3.09
Sn (0.5000, 0.5000, 0.5000)  8 Tm 3.14-3.30